Record 1
{
  "formula": "Ce2Al3Si",
  "functional": "GGA-PBE",
  "state": "optimized geometry",
  "space_group": "No. 25",
  "raw_formation_energy_ev_per_fu": -2.83,
  "dos_at_fermi_per_ev_fu": 11.91,
  "cell": [[4.100, 0.000, 0.000], [0.000, 4.333, 0.000], [0.000, 0.000, 7.492]],
  "species": ["Ce", "Ce", "Al", "Al", "Al", "Si"],
  "frac_coords": [[0.000, 0.000, 0.000], [0.000, 0.500, 0.483], [0.500, 0.000, 0.652], [0.500, 0.500, 0.162], [0.500, 0.500, 0.824], [0.500, 0.000, 0.324]]
}

---

Record 2
{
  "formula": "K2SiTe",
  "functional": "GGA-PBE",
  "state": "optimized geometry",
  "space_group": "No. 65",
  "raw_formation_energy_ev_per_fu": -0.19,
  "dos_at_fermi_per_ev_fu": 2.54,
  "de_polymorph_mev_per_atom": 211,
  "cell": [[6.811, 0.000, 0.000], [0.000, 10.491, 0.000], [0.000, 0.000, 3.380]],
  "species": ["K", "K", "K", "K", "Si", "Si", "Te", "Te"],
  "frac_coords": [[0.250, 0.250, 0.000], [0.250, 0.750, 0.000], [0.750, 0.250, 0.000], [0.750, 0.750, 0.000], [0.000, 0.000, 0.500], [0.500, 0.500, 0.500], [0.000, 0.500, 0.500], [0.500, 0.000, 0.500]]
}

---

Record 3
{
  "formula": "CaTmTlAu",
  "functional": "GGA-PBE",
  "state": "optimized geometry",
  "space_group": "No. 216",
  "dos_at_fermi_per_ev_fu": 3.30,
  "de_polymorph_mev_per_atom": 63,
  "e_form_ev_per_atom": -0.564,
  "cell": [[7.386, 0.000, 0.000], [0.000, 7.386, 0.000], [0.000, 0.000, 7.386]],
  "species": ["Ca", "Ca", "Ca", "Ca", "Tm", "Tm", "Tm", "Tm", "Tl", "Tl", "Tl", "Tl", "Au", "Au", "Au", "Au"],
  "frac_coords": [[0.000, 0.000, 0.000], [0.000, 0.500, 0.500], [0.500, 0.000, 0.500], [0.500, 0.500, 0.000], [0.000, 0.000, 0.500], [0.000, 0.500, 0.000], [0.500, 0.000, 0.000], [0.500, 0.500, 0.500], [0.250, 0.250, 0.750], [0.250, 0.750, 0.250], [0.750, 0.250, 0.250], [0.750, 0.750, 0.750], [0.250, 0.250, 0.250], [0.250, 0.750, 0.750], [0.750, 0.250, 0.750], [0.750, 0.750, 0.250]]
}

---

Record 4
{
  "formula": "TbPuAgPb",
  "functional": "GGA-PBE",
  "state": "optimized geometry",
  "space_group": "No. 216",
  "dos_at_fermi_per_ev_fu": 10.03,
  "e_form_ev_per_atom": -0.202,
  "cell": [[7.539, 0.000, 0.000], [0.000, 7.539, 0.000], [0.000, 0.000, 7.539]],
  "species": ["Tb", "Tb", "Tb", "Tb", "Pu", "Pu", "Pu", "Pu", "Ag", "Ag", "Ag", "Ag", "Pb", "Pb", "Pb", "Pb"],
  "frac_coords": [[0.000, 0.000, 0.000], [0.000, 0.500, 0.500], [0.500, 0.000, 0.500], [0.500, 0.500, 0.000], [0.000, 0.000, 0.500], [0.000, 0.500, 0.000], [0.500, 0.000, 0.000], [0.500, 0.500, 0.500], [0.250, 0.250, 0.250], [0.250, 0.750, 0.750], [0.750, 0.250, 0.750], [0.750, 0.750, 0.250], [0.250, 0.250, 0.750], [0.250, 0.750, 0.250], [0.750, 0.250, 0.250], [0.750, 0.750, 0.750]]
}

---

Record 5
{
  "formula": "SrHoInCl6",
  "functional": "GGA-PBE",
  "state": "optimized geometry",
  "space_group": "No. 163",
  "raw_formation_energy_ev_per_fu": -18.32,
  "dos_at_fermi_per_ev_fu": 0.00,
  "cell": [[7.344, 0.000, 0.000], [-3.672, 6.360, 0.000], [0.000, 0.000, 13.386]],
  "species": ["Sr", "Sr", "Ho", "Ho", "In", "In", "Cl", "Cl", "Cl", "Cl", "Cl", "Cl", "Cl", "Cl", "Cl", "Cl", "Cl", "Cl"],
  "frac_coords": [[0.333, 0.667, 0.250], [0.667, 0.333, 0.750], [0.333, 0.667, 0.750], [0.667, 0.333, 0.250], [0.000, 0.000, 0.000], [0.000, 0.000, 0.500], [0.027, 0.381, 0.638], [0.027, 0.647, 0.862], [0.353, 0.381, 0.862], [0.353, 0.973, 0.638], [0.381, 0.027, 0.138], [0.381, 0.353, 0.362], [0.619, 0.647, 0.638], [0.619, 0.973, 0.862], [0.647, 0.027, 0.362], [0.647, 0.619, 0.138], [0.973, 0.353, 0.138], [0.973, 0.619, 0.362]]
}

---

Record 6
{
  "formula": "LiNi2Pt2",
  "functional": "GGA-PBE",
  "state": "optimized geometry",
  "space_group": "No. 139",
  "dos_at_fermi_per_ev_fu": 5.70,
  "de_polymorph_mev_per_atom": 287,
  "e_form_ev_per_atom": 0.130,
  "cell": [[3.870, 0.000, 0.000], [0.000, 3.870, 0.000], [0.000, 0.000, 10.690]],
  "species": ["Li", "Li", "Ni", "Ni", "Ni", "Ni", "Pt", "Pt", "Pt", "Pt"],
  "frac_coords": [[0.000, 0.000, 0.000], [0.500, 0.500, 0.500], [0.000, 0.000, 0.398], [0.000, 0.000, 0.602], [0.500, 0.500, 0.102], [0.500, 0.500, 0.898], [0.000, 0.500, 0.250], [0.000, 0.500, 0.750], [0.500, 0.000, 0.250], [0.500, 0.000, 0.750]]
}

---

Record 7
{
  "formula": "Ta2Ti4Sn",
  "functional": "GGA-PBE",
  "state": "optimized geometry",
  "space_group": "No. 139",
  "dos_at_fermi_per_ev_fu": 8.77,
  "de_polymorph_mev_per_atom": 1188,
  "e_form_ev_per_atom": 1.124,
  "cell": [[4.973, 0.000, 0.000], [0.000, 4.973, 0.000], [0.000, 0.000, 13.028]],
  "species": ["Ta", "Ta", "Ta", "Ta", "Ti", "Ti", "Ti", "Ti", "Ti", "Ti", "Ti", "Ti", "Sn", "Sn"],
  "frac_coords": [[0.000, 0.000, 0.101], [0.000, 0.000, 0.899], [0.500, 0.500, 0.399], [0.500, 0.500, 0.601], [0.000, 0.000, 0.297], [0.000, 0.000, 0.703], [0.000, 0.500, 0.000], [0.000, 0.500, 0.500], [0.500, 0.000, 0.000], [0.500, 0.000, 0.500], [0.500, 0.500, 0.203], [0.500, 0.500, 0.797], [0.000, 0.000, 0.500], [0.500, 0.500, 0.000]]
}

---

Record 8
{
  "formula": "Co3H12Ru5",
  "functional": "GGA-PBE",
  "state": "optimized geometry",
  "space_group": "No. 230",
  "energy_ha_per_atom": -0.1883,
  "dos_at_fermi_per_ev_fu": 16.41,
  "cell": [[-5.222, 5.222, 5.222], [5.222, -5.222, 5.222], [5.222, 5.222, -5.222]],
  "species": ["Co", "Co", "Co", "Co", "Co", "Co", "Co", "Co", "Co", "Co", "Co", "Co", "H", "H", "H", "H", "H", "H", "H", "H", "H", "H", "H", "H", "H", "H", "H", "H", "H", "H", "H", "H", "H", "H", "H", "H", "H", "H", "H", "H", "H", "H", "H", "H", "H", "H", "H", "H", "H", "H", "H", "H", "H", "H", "H", "H", "H", "H", "H", "H", "Ru", "Ru", "Ru", "Ru", "Ru", "Ru", "Ru", "Ru", "Ru", "Ru", "Ru", "Ru", "Ru", "Ru", "Ru", "Ru", "Ru", "Ru", "Ru", "Ru"],
  "frac_coords": [[0.125, 0.250, 0.375], [0.125, 0.375, 0.750], [0.250, 0.375, 0.125], [0.250, 0.875, 0.625], [0.375, 0.125, 0.250], [0.375, 0.750, 0.125], [0.625, 0.250, 0.875], [0.625, 0.875, 0.750], [0.750, 0.125, 0.375], [0.750, 0.625, 0.875], [0.875, 0.625, 0.250], [0.875, 0.750, 0.625], [0.065, 0.231, 0.143], [0.065, 0.334, 0.922], [0.078, 0.643, 0.412], [0.078, 0.935, 0.666], [0.088, 0.731, 0.666], [0.088, 0.857, 0.422], [0.143, 0.065, 0.231], [0.143, 0.578, 0.912], [0.166, 0.231, 0.588], [0.166, 0.435, 0.578], [0.231, 0.143, 0.065], [0.231, 0.588, 0.166], [0.269, 0.334, 0.912], [0.269, 0.435, 0.357], [0.334, 0.912, 0.269], [0.334, 0.922, 0.065], [0.357, 0.269, 0.435], [0.357, 0.588, 0.922], [0.412, 0.078, 0.643], [0.412, 0.834, 0.769], [0.422, 0.088, 0.857], [0.422, 0.834, 0.565], [0.435, 0.357, 0.269], [0.435, 0.578, 0.166], [0.565, 0.422, 0.834], [0.565, 0.643, 0.731], [0.578, 0.166, 0.435], [0.578, 0.912, 0.143], [0.588, 0.166, 0.231], [0.588, 0.922, 0.357], [0.643, 0.412, 0.078], [0.643, 0.731, 0.565], [0.666, 0.078, 0.935], [0.666, 0.088, 0.731], [0.731, 0.565, 0.643], [0.731, 0.666, 0.088], [0.769, 0.412, 0.834], [0.769, 0.857, 0.935], [0.834, 0.565, 0.422], [0.834, 0.769, 0.412], [0.857, 0.422, 0.088], [0.857, 0.935, 0.769], [0.912, 0.143, 0.578], [0.912, 0.269, 0.334], [0.922, 0.065, 0.334], [0.922, 0.357, 0.588], [0.935, 0.666, 0.078], [0.935, 0.769, 0.857], [0.000, 0.000, 0.000], [0.000, 0.000, 0.500], [0.000, 0.500, 0.000], [0.000, 0.500, 0.500], [0.125, 0.750, 0.875], [0.125, 0.875, 0.250], [0.250, 0.125, 0.875], [0.250, 0.625, 0.375], [0.375, 0.250, 0.625], [0.375, 0.625, 0.750], [0.500, 0.000, 0.000], [0.500, 0.000, 0.500], [0.500, 0.500, 0.000], [0.500, 0.500, 0.500], [0.625, 0.375, 0.250], [0.625, 0.750, 0.375], [0.750, 0.375, 0.625], [0.750, 0.875, 0.125], [0.875, 0.125, 0.750], [0.875, 0.250, 0.125]]
}

---

Record 9
{
  "formula": "LiZrMn2Ge",
  "functional": "GGA-PBE",
  "state": "optimized geometry",
  "space_group": "No. 123",
  "dos_at_fermi_per_ev_fu": 3.86,
  "e_form_ev_per_atom": 0.472,
  "cell": [[4.768, 0.000, 0.000], [0.000, 4.768, 0.000], [0.000, 0.000, 4.502]],
  "species": ["Li", "Zr", "Mn", "Mn", "Ge"],
  "frac_coords": [[0.000, 0.000, 0.000], [0.500, 0.500, 0.000], [0.000, 0.500, 0.500], [0.500, 0.000, 0.500], [0.000, 0.000, 0.500]]
}

---

Record 10
{
  "formula": "RbBSeBr2",
  "functional": "GGA-PBE",
  "state": "optimized geometry",
  "space_group": "No. 123",
  "raw_formation_energy_ev_per_fu": -0.61,
  "dos_at_fermi_per_ev_fu": 3.04,
  "de_polymorph_mev_per_atom": 0,
  "cell": [[5.690, 0.000, 0.000], [0.000, 5.690, 0.000], [0.000, 0.000, 4.085]],
  "species": ["Rb", "B", "Se", "Br", "Br"],
  "frac_coords": [[0.000, 0.000, 0.000], [0.500, 0.500, 0.500], [0.500, 0.500, 0.000], [0.000, 0.500, 0.500], [0.500, 0.000, 0.500]]
}

---

Record 11
{
  "formula": "CrSbOs",
  "functional": "GGA-PBE",
  "state": "optimized geometry",
  "space_group": "No. 44",
  "raw_formation_energy_ev_per_fu": 1.56,
  "dos_at_fermi_per_ev_fu": 2.84,
  "de_polymorph_mev_per_atom": 260,
  "cell": [[3.006, 0.000, 0.000], [0.000, 3.943, 0.000], [0.000, 0.000, 8.052]],
  "species": ["Cr", "Cr", "Sb", "Sb", "Os", "Os"],
  "frac_coords": [[0.000, 0.000, 0.000], [0.500, 0.500, 0.500], [0.000, 0.000, 0.674], [0.500, 0.500, 0.174], [0.000, 0.000, 0.344], [0.500, 0.500, 0.844]]
}